# 1
The following is a DFT calculation (PBE-GGA) of a relaxed structure of Na2NdCdSb2.

Results
The theoretical density comes out at 5.325 Mg/m³. For the formation energy without anion corrections, the calculation gives -0.548 eV per atom. The total magnetization comes out at 0.00 μB/cell. As for the volume: 341 Å³/cell.

Cell: 4.6502 9.5712 7.6526 Å, 90.00 90.00 90.00°
Last column: nearest neighbours and their distance in Å.
Space group Pmc2_1 (No. 26)
Unique sites:
Na1 0.0000 0.0713 0.0000  5 Sb 3.27-3.59, 4 Na 3.45-3.57
Na2 0.5000 0.1675 0.3100  4 Sb 3.13-3.16, 2 Na 3.45
Nd1 0.5000 0.4403 0.9265  5 Sb 3.17-3.32
Cd1 0.0000 0.3142 0.6085  4 Sb 2.91-3.07
Sb1 0.0000 0.3770 0.2175  2 Cd 3.05-3.07, 3 Na 3.15-3.37, 4 Nd 3.28-3.32
Sb2 0.5000 0.1542 0.7185  2 Cd 2.91, 2 Na 3.13-3.16, 1 Nd 3.17



# 2
The following is a DFT calculation (PBE-GGA) of a relaxed structure of NaSrNdCd.

Results
The theoretical density comes out at 4.588 Mg/m³. The total magnetization comes out at 0.00 μB/cell. Its formation energy is -0.0260 eV/atom. As for the volume: 532 Å³/cell.

Cell: 8.1016 8.1016 8.1016 Å, 90.00 90.00 90.00°
Last column: nearest neighbours and their distance in Å.
Space group F-43m (No. 216)
Unique sites:
Na1 0.0000 0.0000 0.0000  4 Sr 3.51, 4 Nd 3.51
Sr1 0.2500 0.2500 0.2500  4 Cd 3.51, 4 Na 3.51
Nd1 0.2500 0.2500 0.7500  4 Cd 3.51, 4 Na 3.51
Cd1 0.0000 0.0000 0.5000  4 Nd 3.51, 4 Sr 3.51



# 3
The following is a DFT calculation (PBE-GGA) of a relaxed structure of NaTbNdCd.

Results
The theoretical density comes out at 6.245 Mg/m³. The total magnetization comes out at 2.98 μB/cell. Its formation energy is 0.0207 eV/atom. As for the volume: 466 Å³/cell.

Cell: 7.7553 7.7553 7.7553 Å, 90.00 90.00 90.00°
Last column: nearest neighbours and their distance in Å.
Space group F-43m (No. 216)
Unique sites:
Na1 0.0000 0.0000 0.0000  4 Tb 3.36, 4 Nd 3.36
Tb1 0.2500 0.2500 0.7500  4 Cd 3.36, 4 Na 3.36
Nd1 0.2500 0.2500 0.2500  4 Cd 3.36, 4 Na 3.36
Cd1 0.0000 0.0000 0.5000  4 Nd 3.36, 4 Tb 3.36



# 4
The following is a DFT calculation (PBE-GGA) of a relaxed structure of NaNdTmCd.

Results
The theoretical density comes out at 6.524 Mg/m³. The total magnetization comes out at 2.58 μB/cell. Its formation energy is 0.0370 eV/atom. As for the volume: 457 Å³/cell.

Cell: 7.7010 7.7010 7.7010 Å, 90.00 90.00 90.00°
Last column: nearest neighbours and their distance in Å.
Space group F-43m (No. 216)
Unique sites:
Na1 0.0000 0.0000 0.0000  4 Nd 3.33, 4 Tm 3.33
Nd1 0.2500 0.2500 0.2500  4 Cd 3.33, 4 Na 3.33
Tm1 0.2500 0.2500 0.7500  4 Na 3.33, 4 Cd 3.33
Cd1 0.0000 0.0000 0.5000  4 Tm 3.33, 4 Nd 3.33



# 5
The following is a DFT calculation (PBE-GGA) of a relaxed structure of NaNdYCd.

Results
The theoretical density comes out at 5.255 Mg/m³. The total magnetization comes out at 3.33 μB/cell. Its formation energy is 0.0063 eV/atom. As for the volume: 466 Å³/cell.

Cell: 7.7519 7.7519 7.7519 Å, 90.00 90.00 90.00°
Last column: nearest neighbours and their distance in Å.
Space group F-43m (No. 216)
Unique sites:
Na1 0.0000 0.0000 0.0000  4 Nd 3.36, 4 Y 3.36
Nd1 0.2500 0.2500 0.7500  4 Cd 3.36, 4 Na 3.36
Y1 0.2500 0.2500 0.2500  4 Cd 3.36, 4 Na 3.36
Cd1 0.0000 0.0000 0.5000  4 Y 3.36, 4 Nd 3.36



# 6
The following is a DFT calculation (PBE-GGA) of a relaxed structure of NaNdZnCd.

Results
The theoretical density comes out at 5.729 Mg/m³. The total magnetization comes out at 0.00 μB/cell. Its formation energy is -0.1388 eV/atom. As for the volume: 400 Å³/cell.

Cell: 7.3683 7.3683 7.3683 Å, 90.00 90.00 90.00°
Last column: nearest neighbours and their distance in Å.
Space group F-43m (No. 216)
Unique sites:
Na1 0.0000 0.0000 0.0000  4 Cd 3.19, 4 Zn 3.19
Nd1 0.0000 0.0000 0.5000  4 Zn 3.19, 4 Cd 3.19
Zn1 0.2500 0.2500 0.7500  4 Na 3.19, 4 Nd 3.19
Cd1 0.2500 0.2500 0.2500  4 Na 3.19, 4 Nd 3.19



# 7
The following is a DFT calculation (PBE-GGA) of a relaxed structure of NaCd2Ni.

Results
The theoretical density comes out at 6.109 Mg/m³. The total magnetization comes out at 0.00 μB/cell. Its formation energy is 0.1839 eV/atom. As for the volume: 250 Å³/cell.

Cell: 3.0605 3.0605 30.8108 Å, 90.00 90.00 120.00°
Last column: nearest neighbours and their distance in Å.
Space group R-3m (No. 166, hexagonal axes)
Unique sites:
Na1 0.0000 0.0000 0.0000  6 Na 3.06, 2 Cd 3.10
Cd1 0.0000 0.0000 0.1006  3 Ni 2.70
Ni1 0.0000 0.0000 0.5000  6 Cd 2.70



# 8
The following is a DFT calculation (PBE-GGA) of a relaxed structure of NaCd2Ni.

Results
The theoretical density comes out at 5.481 Mg/m³. The total magnetization comes out at 0.00 μB/cell. Its formation energy is 0.1246 eV/atom. As for the volume: 279 Å³/cell.

Cell: 4.5246 4.5246 15.7137 Å, 90.00 90.00 120.00°
Last column: nearest neighbours and their distance in Å.
Space group R3m (No. 160, hexagonal axes)
Unique sites:
Na1 0.0000 0.0000 0.0000  1 Ni 2.90, 4 Cd 3.23
Cd1 0.0000 0.0000 0.2057  3 Ni 2.76, 3 Cd 2.93
Cd2 0.0000 0.0000 0.4541  3 Ni 2.65, 3 Cd 2.93
Ni1 0.0000 0.0000 0.8153  6 Cd 2.65-2.76, 1 Na 2.90



# 9
The following is a DFT calculation (PBE-GGA) of a relaxed structure of NaCdNi3.

Results
The theoretical density comes out at 4.694 Mg/m³. Its relative energy among the computed polymorphs is 0.00 eV/f.u. The total magnetization comes out at 0.70 μB/cell. Its formation energy is 1.0990 eV/atom. As for the volume: 110 Å³/cell.

Cell: 4.7943 4.7943 4.7943 Å, 90.00 90.00 90.00°
Last column: nearest neighbours and their distance in Å.
Space group Pm-3m (No. 221)
Unique sites:
Na1 0.0000 0.0000 0.0000  12 Ni 3.39
Cd1 0.5000 0.5000 0.5000  6 Ni 2.40
Ni1 0.0000 0.5000 0.5000  2 Cd 2.40



# 10
The following is a DFT calculation (PBE-GGA) of a relaxed structure of Na3CdNi.

Results
The theoretical density comes out at 2.639 Mg/m³. Its relative energy among the computed polymorphs is 0.00 eV/f.u. The total magnetization comes out at 0.00 μB/cell. Its formation energy is 0.4452 eV/atom. As for the volume: 151 Å³/cell.

Cell: 5.3260 5.3260 5.3260 Å, 90.00 90.00 90.00°
Last column: nearest neighbours and their distance in Å.
Space group Pm-3m (No. 221)
Unique sites:
Na1 0.0000 0.0000 0.5000  2 Ni 2.66
Cd1 0.5000 0.5000 0.5000  12 Na 3.77
Ni1 0.0000 0.0000 0.0000  6 Na 2.66



# 11
The following is a DFT calculation (PBE-GGA) of a relaxed structure of Na2Cd2Ni.

Results
The theoretical density comes out at 4.541 Mg/m³. The total magnetization comes out at 0.00 μB/cell. Its formation energy is 0.1282 eV/atom. As for the volume: 241 Å³/cell.

Cell: 6.8371 6.8371 5.1555 Å, 90.00 90.00 90.00°
Last column: nearest neighbours and their distance in Å.
Space group P4/mbm (No. 127)
Unique sites:
Na1 0.1752 0.3248 0.0000  2 Cd 3.06, 1 Na 3.39
Cd1 0.1543 0.6543 0.5000  2 Ni 2.59
Ni1 0.0000 0.0000 0.5000  4 Cd 2.59



# 12
The following is a DFT calculation (PBE-GGA) of a relaxed structure of Na2CdNi2.

Results
The theoretical density comes out at 4.674 Mg/m³. The total magnetization comes out at 0.00 μB/cell. Its formation energy is 0.2748 eV/atom. As for the volume: 196 Å³/cell.

Cell: 6.5029 6.5029 4.6337 Å, 90.00 90.00 90.00°
Last column: nearest neighbours and their distance in Å.
Space group P4/mbm (No. 127)
Unique sites:
Na1 0.1739 0.3261 0.0000  6 Ni 2.97-3.04, 1 Na 3.20
Cd1 0.0000 0.0000 0.5000  4 Ni 2.58
Ni1 0.1236 0.6236 0.5000  1 Ni 2.27



# 13
The following is a DFT calculation (PBE-GGA) of a relaxed structure of NaCd2Ni.

Results
The theoretical density comes out at 5.722 Mg/m³. The total magnetization comes out at 0.00 μB/cell. Its formation energy is 0.3517 eV/atom. As for the volume: 356 Å³/cell.

Cell: 4.3431 4.3431 18.8632 Å, 90.00 90.00 90.00°
Last column: nearest neighbours and their distance in Å.
Space group I-42d (No. 122)
Unique sites:
Na1 0.0000 0.0000 0.0000  4 Cd 2.88, 4 Ni 3.07
Cd1 0.2106 0.2500 0.6250  2 Ni 2.75, 2 Cd 2.84, 2 Na 2.88
Ni1 0.0000 0.0000 0.5000  4 Cd 2.75, 4 Na 3.07



# 14
The following is a DFT calculation (PBE-GGA) of a relaxed structure of Na3CdNi.

Results
The theoretical density comes out at 2.286 Mg/m³. Its relative energy among the computed polymorphs is 1.71 eV/f.u. The total magnetization comes out at 0.00 μB/cell. Its formation energy is 0.7876 eV/atom. As for the volume: 174 Å³/cell.

Cell: 5.5867 5.5867 5.5867 Å, 90.00 90.00 90.00°
Last column: nearest neighbours and their distance in Å.
Space group Pm-3m (No. 221)
Unique sites:
Na1 0.0000 0.0000 0.5000  2 Cd 2.79
Cd1 0.0000 0.0000 0.0000  6 Na 2.79
Ni1 0.5000 0.5000 0.5000  12 Na 3.95



# 15
The following is a DFT calculation (PBE-GGA) of a relaxed structure of NaCd2Ni.

Results
The theoretical density comes out at 6.361 Mg/m³. The total magnetization comes out at 0.00 μB/cell. Its formation energy is 0.0321 eV/atom. As for the volume: 80 Å³/cell.

Cell: 3.1382 3.1382 8.1248 Å, 90.00 90.00 90.00°
Last column: nearest neighbours and their distance in Å.
Space group P4/mmm (No. 123)
Unique sites:
Na1 0.0000 0.0000 0.0000  4 Na 3.14, 8 Cd 3.32
Cd1 0.5000 0.5000 0.3045  4 Ni 2.73
Ni1 0.0000 0.0000 0.5000  8 Cd 2.73



# 16
The following is a DFT calculation (PBE-GGA) of a relaxed structure of NaCd11Ni.

Results
The theoretical density comes out at 7.526 Mg/m³. The total magnetization comes out at 0.00 μB/cell. Its formation energy is -0.0051 eV/atom. As for the volume: 582 Å³/cell.

Cell: 5.6055 14.5078 7.6493 Å, 90.00 110.75 90.00°
Last column: nearest neighbours and their distance in Å.
Space group C2/m (No. 12)
Unique sites:
Na1 0.0000 0.0000 0.0000  14 Cd 3.43-3.82
Cd1 0.0000 0.0000 0.5000  2 Ni 2.80, 8 Cd 2.95-2.99
Cd2 0.0845 0.3993 0.2155  1 Ni 2.80, 6 Cd 2.92-3.09
Cd3 0.1904 0.1677 0.3619  1 Ni 2.96, 6 Cd 2.97-3.22
Cd4 0.2500 0.2500 0.0000  6 Cd 2.80-3.06
Ni1 0.0000 0.5000 0.5000  10 Cd 2.80-2.96



# 17
The following is a DFT calculation (PBE-GGA) of a relaxed structure of NaCdNi.

Results
The theoretical density comes out at 5.570 Mg/m³. The total magnetization comes out at 1.04 μB/cell. Its formation energy is 0.0961 eV/atom. As for the volume: 463 Å³/cell.

Cell: 5.0847 8.9807 10.1377 Å, 90.00 90.00 90.00°
Last column: nearest neighbours and their distance in Å.
Space group Fmmm (No. 69)
Unique sites:
Na1 0.0000 0.1661 0.0000  4 Ni 2.93, 3 Na 2.96-2.98
Cd1 0.0000 0.0000 0.3292  4 Ni 2.70, 2 Cd 3.01
Ni1 0.2500 0.2500 0.2500  2 Ni 2.54, 4 Cd 2.70



# 18
The following is a DFT calculation (PBE-GGA) of a relaxed structure of NaCd2NiPb.

Results
The theoretical density comes out at 6.589 Mg/m³. The total magnetization comes out at 0.00 μB/cell. Its formation energy is 0.0060 eV/atom. As for the volume: 129 Å³/cell.

Cell: 5.0923 5.0923 4.9921 Å, 90.00 90.00 90.00°
Last column: nearest neighbours and their distance in Å.
Space group P4/mmm (No. 123)
Unique sites:
Na1 0.0000 0.0000 0.0000  8 Cd 3.57, 4 Pb 3.60
Cd1 0.0000 0.5000 0.5000  2 Ni 2.55
Ni1 0.5000 0.5000 0.5000  2 Pb 2.50, 4 Cd 2.55
Pb1 0.5000 0.5000 0.0000  2 Ni 2.50



# 19
The following is a DFT calculation (PBE-GGA) of a relaxed structure of RbNaCd2Ni.

Results
The theoretical density comes out at 4.431 Mg/m³. The total magnetization comes out at 0.00 μB/cell. Its formation energy is 0.0862 eV/atom. As for the volume: 147 Å³/cell.

Cell: 5.1714 5.1714 5.4933 Å, 90.00 90.00 90.00°
Last column: nearest neighbours and their distance in Å.
Space group P4/mmm (No. 123)
Unique sites:
Rb1 0.0000 0.0000 0.0000  4 Na 3.66, 8 Cd 3.77
Na1 0.5000 0.5000 0.0000  2 Ni 2.75
Cd1 0.0000 0.5000 0.5000  2 Ni 2.59
Ni1 0.5000 0.5000 0.5000  4 Cd 2.59, 2 Na 2.75



# 20
The following is a DFT calculation (PBE-GGA) of a relaxed structure of NaCdReNi2.

Results
The theoretical density comes out at 6.623 Mg/m³. The total magnetization comes out at 0.99 μB/cell. Its formation energy is 1.3109 eV/atom. As for the volume: 110 Å³/cell.

Cell: 4.5482 4.5482 5.3203 Å, 90.00 90.00 90.00°
Last column: nearest neighbours and their distance in Å.
Space group P4/mmm (No. 123)
Unique sites:
Na1 0.0000 0.0000 0.0000  2 Re 2.66
Cd1 0.5000 0.5000 0.0000  4 Na 3.22, 8 Ni 3.50
Re1 0.0000 0.0000 0.5000  4 Ni 2.27
Ni1 0.0000 0.5000 0.5000  2 Re 2.27